(1)
Density functional theory data (PBE-GGA) for a relaxed Ac4Te2AsP crystal.

It has space group P2/m (No. 10), with a = 7.8967 Å, b = 4.5609 Å, c = 8.1651 Å, α = 90.00°, β = 108.82° and γ = 90.00°. The inequivalent atoms are Ac at (0.2354, 0.0000, 0.2186), Ac at (0.2550, 0.5000, 0.7789), Te at (0.0000, 0.0000, 0.5000), Te at (0.5000, 0.5000, 0.5000), As at (0.5000, 0.0000, 0.0000) and P at (0.0000, 0.5000, 0.0000).

The calculation puts the uncorrected formation energy at -1205.4 kJ/mol of formula units. For the electronic total energy, the calculation gives -5.6586 eV per atom.

=====

(2)
Density functional theory data (PBE-GGA) for a relaxed NdEu2NbO6 crystal.

It has space group Fm-3m (No. 225), with a = 8.6010 Å, b = 8.6010 Å, c = 8.6010 Å, α = 90.00°, β = 90.00° and γ = 90.00°. The inequivalent atoms are Nd at (0.0000, 0.0000, 0.0000), Eu at (0.2500, 0.2500, 0.2500), Nb at (0.0000, 0.0000, 0.5000) and O at (0.0000, 0.0000, 0.2667).

The calculation puts the uncorrected formation energy at -2699.1 kJ/mol of formula units. For the electronic total energy, the calculation gives -9.3110 eV per atom.

=====

(3)
Density functional theory data (PBE-GGA) for a relaxed Pm3HoSc6 crystal.

It has space group R3 (No. 146, hexagonal axes), with a = 9.3378 Å, b = 9.3378 Å, c = 11.2758 Å, α = 90.00°, β = 90.00° and γ = 120.00°. The inequivalent atoms are Pm at (0.0000, 0.0000, 0.0000), Pm at (0.0000, 0.0000, 0.2500), Pm at (0.0000, 0.0000, 0.4998), Ho at (0.0000, 0.0000, 0.7499), Sc at (0.0027, 0.6735, 0.4994) and Sc at (0.0068, 0.3373, 0.6659).

As for the energy above the lowest structure with this stoichiometry: 2.232 eV/f.u. For the electronic total energy, the calculation gives -5.2754 eV per atom.

=====

(4)
Density functional theory data (PBE-GGA) for a relaxed Hg2C2Cl crystal.

It has space group I4/mmm (No. 139), with a = 4.6444 Å, b = 4.6444 Å, c = 7.9477 Å, α = 90.00°, β = 90.00° and γ = 90.00°. The inequivalent atoms are Hg at (0.0000, 0.5000, 0.2500), C at (0.0000, 0.0000, 0.0816) and Cl at (0.0000, 0.0000, 0.5000).

The calculation puts the uncorrected formation energy at 515.3 kJ/mol of formula units. As for the energy above the lowest structure with this stoichiometry: 1.346 eV/f.u. For the electronic total energy, the calculation gives -3.1114 eV per atom.